# 1
HgPbCl2 | GGA-PBEsol | optimized geometry

Geometry as CIF:
```
data_HgPbCl2
_chemical_formula_sum 'Hg2 Pb2 Cl4'
_space_group_name_H-M_alt 'C 1 m 1'
_space_group_IT_number 8
_space_group_name_Hall 'C -2y'
_cell_length_a 10.104
_cell_length_b 3.870
_cell_length_c 6.572
_cell_angle_alpha 90.00
_cell_angle_beta 113.12
_cell_angle_gamma 90.00
loop_
_atom_site_label
_atom_site_type_symbol
_atom_site_fract_x
_atom_site_fract_y
_atom_site_fract_z
Hg1 Hg 0.000 0.000 0.000
Pb1 Pb 0.193 0.500 0.402
Cl1 Cl 0.224 0.000 0.725
Cl2 Cl 0.396 0.000 0.360
```

## Properties
* crystal system: monoclinic
* volume: 29.54 Å³ per atom
* formation energy (no corrections): -15.71 kcal/mol of atoms
* energy relative to the lowest polymorph listed for this composition: 0.0177 eV/atom
* D(E_F): 0.000 states/eV/atom


# 2
HgPbCl2 | GGA-PBEsol | optimized geometry

Geometry as CIF:
```
data_HgPbCl2
_chemical_formula_sum 'Hg2 Pb2 Cl4'
_space_group_name_H-M_alt 'I m m 2'
_space_group_IT_number 44
_space_group_name_Hall 'I 2 -2'
_cell_length_a 3.634
_cell_length_b 4.738
_cell_length_c 13.363
_cell_angle_alpha 90.00
_cell_angle_beta 90.00
_cell_angle_gamma 90.00
loop_
_atom_site_label
_atom_site_type_symbol
_atom_site_fract_x
_atom_site_fract_y
_atom_site_fract_z
Hg1 Hg 0.000 0.000 0.000
Pb1 Pb 0.000 0.500 0.717
Cl1 Cl 0.000 0.000 0.374
Cl2 Cl 0.000 0.500 0.187
```

## Properties
* crystal system: orthorhombic
* volume: 28.76 Å³ per atom
* formation energy (no corrections): -15.38 kcal/mol of atoms
* energy relative to the lowest polymorph listed for this composition: 0.0320 eV/atom
* D(E_F): 0.000 states/eV/atom


# 3
HgPbCl | GGA-PBEsol | optimized geometry

Geometry as CIF:
```
data_HgPbCl
_chemical_formula_sum 'Hg4 Pb4 Cl4'
_space_group_name_H-M_alt 'F -4 3 m'
_space_group_IT_number 216
_space_group_name_Hall 'F -4 2 3'
_cell_length_a 7.129
_cell_length_b 7.129
_cell_length_c 7.129
_cell_angle_alpha 90.00
_cell_angle_beta 90.00
_cell_angle_gamma 90.00
loop_
_atom_site_label
_atom_site_type_symbol
_atom_site_fract_x
_atom_site_fract_y
_atom_site_fract_z
Hg1 Hg 0.000 0.000 0.000
Pb1 Pb 0.250 0.250 0.250
Cl1 Cl 0.000 0.000 0.500
```

## Properties
* crystal system: cubic
* volume: 30.19 Å³ per atom
* formation energy (no corrections): -4.81 kcal/mol of atoms
* energy relative to the lowest polymorph listed for this composition: 0.0997 eV/atom
* D(E_F): 0.550 states/eV/atom


# 4
HgPbCl2 | GGA-PBEsol | optimized geometry

Geometry as CIF:
```
data_HgPbCl2
_chemical_formula_sum 'Hg2 Pb2 Cl4'
_space_group_name_H-M_alt 'C 1 2/m 1'
_space_group_IT_number 12
_space_group_name_Hall '-C 2y'
_cell_length_a 7.321
_cell_length_b 4.223
_cell_length_c 8.977
_cell_angle_alpha 90.00
_cell_angle_beta 105.41
_cell_angle_gamma 90.00
loop_
_atom_site_label
_atom_site_type_symbol
_atom_site_fract_x
_atom_site_fract_y
_atom_site_fract_z
Hg1 Hg 0.000 0.000 0.000
Pb1 Pb 0.000 0.500 0.500
Cl1 Cl 0.224 0.000 0.677
```

## Properties
* crystal system: monoclinic
* volume: 33.45 Å³ per atom
* formation energy (no corrections): -16.12 kcal/mol of atoms
* energy relative to the lowest polymorph listed for this composition: 0.0000 eV/atom
* D(E_F): 0.000 states/eV/atom


# 5
HgPbCl | GGA-PBEsol | optimized geometry

Geometry as CIF:
```
data_HgPbCl
_chemical_formula_sum 'Hg2 Pb2 Cl2'
_space_group_name_H-M_alt 'I 4 m m'
_space_group_IT_number 107
_space_group_name_Hall 'I 4 -2'
_cell_length_a 3.738
_cell_length_b 3.738
_cell_length_c 10.752
_cell_angle_alpha 90.00
_cell_angle_beta 90.00
_cell_angle_gamma 90.00
loop_
_atom_site_label
_atom_site_type_symbol
_atom_site_fract_x
_atom_site_fract_y
_atom_site_fract_z
Hg1 Hg 0.000 0.000 0.000
Pb1 Pb 0.000 0.000 0.338
Cl1 Cl 0.000 0.000 0.679
```

## Properties
* crystal system: tetragonal
* volume: 25.04 Å³ per atom
* formation energy (no corrections): -7.11 kcal/mol of atoms
* energy relative to the lowest polymorph listed for this composition: 0.0000 eV/atom
* D(E_F): 0.450 states/eV/atom


# 6
HgPb3Cl | GGA-PBEsol | optimized geometry

Geometry as CIF:
```
data_HgPb3Cl
_chemical_formula_sum 'Hg1 Pb3 Cl1'
_space_group_name_H-M_alt 'P m -3 m'
_space_group_IT_number 221
_space_group_name_Hall '-P 4 2 3'
_cell_length_a 5.677
_cell_length_b 5.677
_cell_length_c 5.677
_cell_angle_alpha 90.00
_cell_angle_beta 90.00
_cell_angle_gamma 90.00
loop_
_atom_site_label
_atom_site_type_symbol
_atom_site_fract_x
_atom_site_fract_y
_atom_site_fract_z
Hg1 Hg 0.000 0.000 0.000
Pb1 Pb 0.000 0.000 0.500
Cl1 Cl 0.500 0.500 0.500
```

## Properties
* crystal system: cubic
* volume: 36.59 Å³ per atom
* formation energy (no corrections): 8.32 kcal/mol of atoms
* D(E_F): 1.104 states/eV/atom